VASP calculation (PBE) on crystalline TbEr2Re at its relaxed geometry.

Unit cell a=3.204 b=3.204 c=11.422 alpha=81.94 beta=81.94 gamma=60.00
Each line ends with the local moment (μB).
Element x y z (fractional)
Er 0.921 0.921 0.238  0.00
Er 0.079 0.079 0.762  0.00
Tb 0.500 0.500 0.500  0.00
Re 0.000 0.000 0.000  -0.09

ρ in g/cm3: 11.26
E_form in eV per formula unit: 3.07